[1]
## PuNpScO6 (PBE-GGA)

Data for PuNpScO6 after structural relaxation.

The energy comes out at -182.13 eV per cell.

The structure belongs to space group P-31c (No. 163); the cell edges are 5.5480, 5.5480 and 9.5797 Å and the angles 90.00°, 90.00° and 120.00°. Symmetry generates all atoms from Pu at (0.0000, 0.0000, 0.0000), Np at (0.3333, 0.6667, 0.2500), Sc at (0.3333, 0.6667, 0.7500) and O at (0.0025, 0.3465, 0.1351).



[2]
## PuNpSeO2 (PBE-GGA)

Data for PuNpSeO2 after structural relaxation.

The energy comes out at -105.11 eV per cell.

The structure belongs to space group I4mm (No. 107); the cell edges are 3.8330, 3.8330 and 12.3375 Å and the angles 90.00°, 90.00° and 90.00°. Symmetry generates all atoms from Pu at (0.0000, 0.0000, 0.0000), Np at (0.0000, 0.0000, 0.7073), Se at (0.0000, 0.0000, 0.3552) and O at (0.0000, 0.5000, 0.1089).



[3]
## SrPuNpO6 (PBE-GGA)

Data for SrPuNpO6 after structural relaxation.

The energy comes out at -170.35 eV per cell.

The structure belongs to space group P-31c (No. 163); the cell edges are 5.8757, 5.8757 and 10.1361 Å and the angles 90.00°, 90.00° and 120.00°. Symmetry generates all atoms from Sr at (0.0000, 0.0000, 0.0000), Pu at (0.3333, 0.6667, 0.2500), Np at (0.3333, 0.6667, 0.7500) and O at (0.0114, 0.3740, 0.6442).



[4]
## Sr2PuNpO6 (PBE-GGA)

Data for Sr2PuNpO6 after structural relaxation.

The energy comes out at -181.24 eV per cell.

The structure belongs to space group P2_1/c (No. 14); the cell edges are 6.0129, 6.1459 and 10.4715 Å and the angles 90.00°, 125.01° and 90.00°. Symmetry generates all atoms from Sr at (0.2385, 0.0438, 0.2505), Pu at (0.5000, 0.0000, 0.0000), Np at (0.0000, 0.0000, 0.5000), O at (0.1440, 0.2095, 0.9438), O at (0.2382, 0.7010, 0.9469) and O at (0.3467, 0.0396, 0.7453).



[5]
## Tb2PuNpO8 (PBE-GGA)

Data for Tb2PuNpO8 after structural relaxation.

The energy comes out at -114.80 eV per cell.

The structure belongs to space group P2/m (No. 10); the cell edges are 3.7876, 7.5484 and 5.3702 Å and the angles 90.00°, 90.28° and 90.00°. Symmetry generates all atoms from Tb at (0.0000, 0.2495, 0.0000), Pu at (0.5000, 0.5000, 0.5000), Np at (0.5000, 0.0000, 0.5000), O at (0.0024, 0.0000, 0.2667), O at (0.0023, 0.5000, 0.2593) and O at (0.4979, 0.2405, 0.7367).



[6]
## PuNpTeO2 (PBE-GGA)

Data for PuNpTeO2 after structural relaxation.

The energy comes out at -104.47 eV per cell.

The structure belongs to space group I4mm (No. 107); the cell edges are 3.9670, 3.9670 and 12.5488 Å and the angles 90.00°, 90.00° and 90.00°. Symmetry generates all atoms from Pu at (0.0000, 0.0000, 0.0000), Np at (0.0000, 0.0000, 0.6876), Te at (0.0000, 0.0000, 0.3444) and O at (0.0000, 0.5000, 0.0983).



[7]
## PuNpTiO6 (PBE-GGA)

Data for PuNpTiO6 after structural relaxation.

The energy comes out at -183.56 eV per cell.

The structure belongs to space group P-31c (No. 163); the cell edges are 5.4471, 5.4471 and 9.6636 Å and the angles 90.00°, 90.00° and 120.00°. Symmetry generates all atoms from Pu at (0.0000, 0.0000, 0.0000), Np at (0.3333, 0.6667, 0.2500), Ti at (0.3333, 0.6667, 0.7500) and O at (0.0214, 0.3615, 0.6372).



[8]
## PuNpTl2O6 (PBE-GGA)

Data for PuNpTl2O6 after structural relaxation.

The energy comes out at -337.07 eV per cell.

The structure belongs to space group Fm-3m (No. 225); the cell edges are 8.6525, 8.6525 and 8.6525 Å and the angles 90.00°, 90.00° and 90.00°. Symmetry generates all atoms from Pu at (0.0000, 0.0000, 0.0000), Np at (0.0000, 0.0000, 0.5000), Tl at (0.2500, 0.2500, 0.2500) and O at (0.0000, 0.0000, 0.2561).



[9]
## Tm2PuNpO8 (PBE-GGA)

Data for Tm2PuNpO8 after structural relaxation.

The energy comes out at -114.85 eV per cell.

The structure belongs to space group P2/m (No. 10); the cell edges are 3.7569, 7.4873 and 5.2893 Å and the angles 90.00°, 90.12° and 90.00°. Symmetry generates all atoms from Tm at (0.0000, 0.2501, 0.0000), Pu at (0.5000, 0.0000, 0.5000), Np at (0.5000, 0.5000, 0.5000), O at (0.0010, 0.0000, 0.2547), O at (0.0010, 0.5000, 0.2618) and O at (0.4990, 0.2584, 0.7415).



[10]
## TmPuNpO6 (PBE-GGA)

Data for TmPuNpO6 after structural relaxation.

The energy comes out at -178.79 eV per cell.

The structure belongs to space group P-31c (No. 163); the cell edges are 5.7007, 5.7007 and 9.4602 Å and the angles 90.00°, 90.00° and 120.00°. Symmetry generates all atoms from Tm at (0.3333, 0.6667, 0.2500), Pu at (0.0000, 0.0000, 0.0000), Np at (0.3333, 0.6667, 0.7500) and O at (0.0160, 0.3486, 0.6329).



Number 1: ΔE_f (raw) -3.079 eV/atom, DOS(E_F) 1.1213 states/eV per atom, total magnetic moment 0.667 μB/atom. Number 2: ΔE_f (raw) -2.377 eV/atom, DOS(E_F) 3.8450 states/eV per atom, total magnetic moment 0.313 μB/atom. Number 3: ΔE_f (raw) -2.941 eV/atom, DOS(E_F) 1.4374 states/eV per atom, total magnetic moment 0.556 μB/atom. Number 4: ΔE_f (raw) -3.023 eV/atom, DOS(E_F) 0.8606 states/eV per atom, total magnetic moment 0.700 μB/atom. Number 5: ΔE_f (raw) -3.217 eV/atom, DOS(E_F) 0.8108 states/eV per atom, total magnetic moment 0.417 μB/atom. Number 6: ΔE_f (raw) -2.381 eV/atom, DOS(E_F) 2.3387 states/eV per atom, total magnetic moment 1.800 μB/atom. Number 7: ΔE_f (raw) -2.985 eV/atom, DOS(E_F) 1.3157 states/eV per atom, total magnetic moment 0.778 μB/atom. Number 8: ΔE_f (raw) -2.251 eV/atom, DOS(E_F) 0.5181 states/eV per atom, total magnetic moment 0.500 μB/atom. Number 9: ΔE_f (raw) -3.247 eV/atom, DOS(E_F) 0.8273 states/eV per atom, total magnetic moment 0.417 μB/atom. Number 10: ΔE_f (raw) -3.100 eV/atom, DOS(E_F) 1.0374 states/eV per atom, total magnetic moment 0.667 μB/atom.